The following is a GGA-PBE calculation of OsRu2Cl2 after structural relaxation, from Alexandria.

Geometry as POSCAR:
```
OsRu2Cl2
1.0
4.770 0.000 0.000
0.000 4.770 0.000
2.385 2.385 3.574
Os Ru Cl
1 2 2
Cartesian
0.000 0.000 0.000 Os
2.385 4.770 1.787 Ru
4.770 2.385 1.787 Ru
4.770 4.770 2.227 Cl
2.385 2.385 1.347 Cl
```

Values from the calculation:
- space-group type = I4/mmm
- ΔE_f (raw) (eV/atom) = 1.23
- E_tot (eV per atom) = -5.468